LiHf2MgH: relaxed, GGA-PBE.

- spin magnetization (μB per cell) = 0.0
- crystal system = tetragonal
- Fermi-level density of states (states/eV/f.u.) = 4.74
- volume (Å³ per atom) = 16.42
- total DFT energy (no corrections) (eV/f.u.) = -26.386

```
data_LiHf2MgH
_space_group_name_H-M_alt 'P 1'
_space_group_IT_number 1
_cell_length_a 4.385
_cell_length_b 4.385
_cell_length_c 4.268
_cell_angle_alpha 90.00
_cell_angle_beta 90.00
_cell_angle_gamma 90.00
loop_
_space_group_symop_operation_xyz
'x,y,z'
loop_
_atom_site_label
_atom_site_fract_x
_atom_site_fract_y
_atom_site_fract_z
Li1 0.000 0.000 0.000
Hf1 0.000 0.500 0.500
Hf2 0.500 0.000 0.500
Mg1 0.500 0.500 0.000
H1 0.000 0.000 0.500
```

LiHfH2O4: relaxed, GGA-PBE.

- spin magnetization (μB per cell) = 0.0
- crystal system = orthorhombic
- Fermi-level density of states (states/eV/f.u.) = 4.19
- volume (Å³ per atom) = 7.79
- total DFT energy (no corrections) (eV/f.u.) = -52.891

```
data_LiHfH2O4
_space_group_name_H-M_alt 'P 1'
_space_group_IT_number 1
_cell_length_a 4.339
_cell_length_b 4.339
_cell_length_c 4.339
_cell_angle_alpha 113.97
_cell_angle_beta 110.87
_cell_angle_gamma 103.74
loop_
_space_group_symop_operation_xyz
'x,y,z'
loop_
_atom_site_label
_atom_site_fract_x
_atom_site_fract_y
_atom_site_fract_z
Li1 0.000 0.000 0.000
Hf1 0.500 0.500 0.000
H1 0.243 0.743 0.500
H2 0.757 0.257 0.500
O1 0.089 0.540 0.151
O2 0.390 0.938 0.849
O3 0.610 0.460 0.549
O4 0.911 0.062 0.451
```

LiHf2PH: relaxed, GGA-PBE.

- spin magnetization (μB per cell) = 0.0
- crystal system = tetragonal
- Fermi-level density of states (states/eV/f.u.) = 3.14
- volume (Å³ per atom) = 13.49
- total DFT energy (no corrections) (eV/f.u.) = -32.426

```
data_LiHf2PH
_space_group_name_H-M_alt 'P 1'
_space_group_IT_number 1
_cell_length_a 4.231
_cell_length_b 4.231
_cell_length_c 3.769
_cell_angle_alpha 90.00
_cell_angle_beta 90.00
_cell_angle_gamma 90.00
loop_
_space_group_symop_operation_xyz
'x,y,z'
loop_
_atom_site_label
_atom_site_fract_x
_atom_site_fract_y
_atom_site_fract_z
Li1 0.000 0.000 0.000
Hf1 0.000 0.500 0.500
Hf2 0.500 0.000 0.500
P1 0.500 0.500 0.000
H1 0.000 0.000 0.500
```

Li2HfPH: relaxed, GGA-PBE.

- spin magnetization (μB per cell) = 0.0
- crystal system = tetragonal
- Fermi-level density of states (states/eV/f.u.) = 2.23
- volume (Å³ per atom) = 15.36
- total DFT energy (no corrections) (eV/f.u.) = -23.724

```
data_Li2HfPH
_space_group_name_H-M_alt 'P 1'
_space_group_IT_number 1
_cell_length_a 3.633
_cell_length_b 3.633
_cell_length_c 5.820
_cell_angle_alpha 90.00
_cell_angle_beta 90.00
_cell_angle_gamma 90.00
loop_
_space_group_symop_operation_xyz
'x,y,z'
loop_
_atom_site_label
_atom_site_fract_x
_atom_site_fract_y
_atom_site_fract_z
Li1 0.000 0.500 0.000
Li2 0.500 0.000 0.000
Hf1 0.000 0.000 0.500
P1 0.500 0.500 0.500
H1 0.500 0.500 0.000
```

Li2HfHPb: relaxed, GGA-PBE.

- spin magnetization (μB per cell) = 0.0
- crystal system = tetragonal
- Fermi-level density of states (states/eV/f.u.) = 1.49
- volume (Å³ per atom) = 15.46
- total DFT energy (no corrections) (eV/f.u.) = -21.840

```
data_Li2HfHPb
_space_group_name_H-M_alt 'P 1'
_space_group_IT_number 1
_cell_length_a 4.233
_cell_length_b 4.233
_cell_length_c 4.314
_cell_angle_alpha 90.00
_cell_angle_beta 90.00
_cell_angle_gamma 90.00
loop_
_space_group_symop_operation_xyz
'x,y,z'
loop_
_atom_site_label
_atom_site_fract_x
_atom_site_fract_y
_atom_site_fract_z
Li1 0.000 0.500 0.000
Li2 0.500 0.000 0.000
Hf1 0.000 0.000 0.500
H1 0.000 0.000 0.000
Pb1 0.500 0.500 0.500
```

Li2HfHPd: relaxed, GGA-PBE.

- spin magnetization (μB per cell) = 0.0
- crystal system = tetragonal
- Fermi-level density of states (states/eV/f.u.) = 1.38
- volume (Å³ per atom) = 13.41
- total DFT energy (no corrections) (eV/f.u.) = -23.981

```
data_Li2HfHPd
_space_group_name_H-M_alt 'P 1'
_space_group_IT_number 1
_cell_length_a 3.797
_cell_length_b 3.797
_cell_length_c 4.650
_cell_angle_alpha 90.00
_cell_angle_beta 90.00
_cell_angle_gamma 90.00
loop_
_space_group_symop_operation_xyz
'x,y,z'
loop_
_atom_site_label
_atom_site_fract_x
_atom_site_fract_y
_atom_site_fract_z
Li1 0.000 0.500 0.000
Li2 0.500 0.000 0.000
Hf1 0.000 0.000 0.500
H1 0.000 0.000 0.000
Pd1 0.500 0.500 0.500
```

Li2HfHPt: relaxed, GGA-PBE.

- spin magnetization (μB per cell) = 0.0
- crystal system = tetragonal
- Fermi-level density of states (states/eV/f.u.) = 1.25
- volume (Å³ per atom) = 13.30
- total DFT energy (no corrections) (eV/f.u.) = -25.850

```
data_Li2HfHPt
_space_group_name_H-M_alt 'P 1'
_space_group_IT_number 1
_cell_length_a 3.795
_cell_length_b 3.795
_cell_length_c 4.617
_cell_angle_alpha 90.00
_cell_angle_beta 90.00
_cell_angle_gamma 90.00
loop_
_space_group_symop_operation_xyz
'x,y,z'
loop_
_atom_site_label
_atom_site_fract_x
_atom_site_fract_y
_atom_site_fract_z
Li1 0.000 0.500 0.000
Li2 0.500 0.000 0.000
Hf1 0.000 0.000 0.500
H1 0.000 0.000 0.000
Pt1 0.500 0.500 0.500
```

Rb2Li3HfH12: relaxed, GGA-PBE.

- spin magnetization (μB per cell) = 0.0
- crystal system = trigonal
- Fermi-level density of states (states/eV/f.u.) = 4.68
- volume (Å³ per atom) = 11.08
- total DFT energy (no corrections) (eV/f.u.) = -58.027

```
data_Rb2Li3HfH12
_space_group_name_H-M_alt 'P 1'
_space_group_IT_number 1
_cell_length_a 6.229
_cell_length_b 6.229
_cell_length_c 6.229
_cell_angle_alpha 67.88
_cell_angle_beta 67.88
_cell_angle_gamma 67.88
loop_
_space_group_symop_operation_xyz
'x,y,z'
loop_
_atom_site_label
_atom_site_fract_x
_atom_site_fract_y
_atom_site_fract_z
Rb1 0.112 0.112 0.112
Rb2 0.888 0.888 0.888
Li1 0.000 0.500 0.500
Li2 0.500 0.000 0.500
Li3 0.500 0.500 0.000
Hf1 0.500 0.500 0.500
H1 0.150 0.617 0.617
H2 0.272 0.272 0.607
H3 0.272 0.607 0.272
H4 0.383 0.383 0.850
H5 0.383 0.850 0.383
H6 0.393 0.728 0.728
H7 0.607 0.272 0.272
H8 0.617 0.150 0.617
H9 0.617 0.617 0.150
H10 0.728 0.393 0.728
H11 0.728 0.728 0.393
H12 0.850 0.383 0.383
```

LiHfHRh2: relaxed, GGA-PBE.

- spin magnetization (μB per cell) = 0.0
- crystal system = tetragonal
- Fermi-level density of states (states/eV/f.u.) = 1.34
- volume (Å³ per atom) = 12.29
- total DFT energy (no corrections) (eV/f.u.) = -32.968

```
data_LiHfHRh2
_space_group_name_H-M_alt 'P 1'
_space_group_IT_number 1
_cell_length_a 4.119
_cell_length_b 4.119
_cell_length_c 3.622
_cell_angle_alpha 90.00
_cell_angle_beta 90.00
_cell_angle_gamma 90.00
loop_
_space_group_symop_operation_xyz
'x,y,z'
loop_
_atom_site_label
_atom_site_fract_x
_atom_site_fract_y
_atom_site_fract_z
Li1 0.000 0.000 0.000
Hf1 0.500 0.500 0.000
H1 0.000 0.000 0.500
Rh1 0.000 0.500 0.500
Rh2 0.500 0.000 0.500
```

Li2HfHRh: relaxed, GGA-PBE.

- spin magnetization (μB per cell) = 0.0
- crystal system = tetragonal
- Fermi-level density of states (states/eV/f.u.) = 2.39
- volume (Å³ per atom) = 12.86
- total DFT energy (no corrections) (eV/f.u.) = -26.400

```
data_Li2HfHRh
_space_group_name_H-M_alt 'P 1'
_space_group_IT_number 1
_cell_length_a 3.716
_cell_length_b 3.716
_cell_length_c 4.658
_cell_angle_alpha 90.00
_cell_angle_beta 90.00
_cell_angle_gamma 90.00
loop_
_space_group_symop_operation_xyz
'x,y,z'
loop_
_atom_site_label
_atom_site_fract_x
_atom_site_fract_y
_atom_site_fract_z
Li1 0.000 0.500 0.000
Li2 0.500 0.000 0.000
Hf1 0.000 0.000 0.500
H1 0.000 0.000 0.000
Rh1 0.500 0.500 0.500
```

LiHfH2Rh: relaxed, GGA-PBE.

- spin magnetization (μB per cell) = 0.0
- crystal system = tetragonal
- Fermi-level density of states (states/eV/f.u.) = 3.32
- volume (Å³ per atom) = 13.69
- total DFT energy (no corrections) (eV/f.u.) = -23.762

```
data_LiHfH2Rh
_space_group_name_H-M_alt 'P 1'
_space_group_IT_number 1
_cell_length_a 3.731
_cell_length_b 3.731
_cell_length_c 4.919
_cell_angle_alpha 90.00
_cell_angle_beta 90.00
_cell_angle_gamma 90.00
loop_
_space_group_symop_operation_xyz
'x,y,z'
loop_
_atom_site_label
_atom_site_fract_x
_atom_site_fract_y
_atom_site_fract_z
Li1 0.000 0.000 0.000
Hf1 0.500 0.500 0.000
H1 0.000 0.500 0.500
H2 0.500 0.000 0.500
Rh1 0.500 0.500 0.500
```

LiHf2HRu: relaxed, GGA-PBE.

- spin magnetization (μB per cell) = 0.0
- crystal system = tetragonal
- Fermi-level density of states (states/eV/f.u.) = 2.17
- volume (Å³ per atom) = 13.96
- total DFT energy (no corrections) (eV/f.u.) = -36.220

```
data_LiHf2HRu
_space_group_name_H-M_alt 'P 1'
_space_group_IT_number 1
_cell_length_a 4.578
_cell_length_b 4.578
_cell_length_c 3.331
_cell_angle_alpha 90.00
_cell_angle_beta 90.00
_cell_angle_gamma 90.00
loop_
_space_group_symop_operation_xyz
'x,y,z'
loop_
_atom_site_label
_atom_site_fract_x
_atom_site_fract_y
_atom_site_fract_z
Li1 0.000 0.000 0.000
Hf1 0.000 0.500 0.500
Hf2 0.500 0.000 0.500
H1 0.000 0.000 0.500
Ru1 0.500 0.500 0.000
```

LiHfHRu2: relaxed, GGA-PBE.

- spin magnetization (μB per cell) = 0.0
- crystal system = tetragonal
- Fermi-level density of states (states/eV/f.u.) = 4.19
- volume (Å³ per atom) = 12.28
- total DFT energy (no corrections) (eV/f.u.) = -34.922

```
data_LiHfHRu2
_space_group_name_H-M_alt 'P 1'
_space_group_IT_number 1
_cell_length_a 4.085
_cell_length_b 4.085
_cell_length_c 3.678
_cell_angle_alpha 90.00
_cell_angle_beta 90.00
_cell_angle_gamma 90.00
loop_
_space_group_symop_operation_xyz
'x,y,z'
loop_
_atom_site_label
_atom_site_fract_x
_atom_site_fract_y
_atom_site_fract_z
Li1 0.000 0.000 0.000
Hf1 0.500 0.500 0.000
H1 0.000 0.000 0.500
Ru1 0.000 0.500 0.500
Ru2 0.500 0.000 0.500
```

LiHf2SbH: relaxed, GGA-PBE.

- spin magnetization (μB per cell) = 0.0
- crystal system = tetragonal
- Fermi-level density of states (states/eV/f.u.) = 2.25
- volume (Å³ per atom) = 16.25
- total DFT energy (no corrections) (eV/f.u.) = -30.893

```
data_LiHf2SbH
_space_group_name_H-M_alt 'P 1'
_space_group_IT_number 1
_cell_length_a 4.233
_cell_length_b 4.233
_cell_length_c 4.535
_cell_angle_alpha 90.00
_cell_angle_beta 90.00
_cell_angle_gamma 90.00
loop_
_space_group_symop_operation_xyz
'x,y,z'
loop_
_atom_site_label
_atom_site_fract_x
_atom_site_fract_y
_atom_site_fract_z
Li1 0.000 0.000 0.000
Hf1 0.000 0.500 0.500
Hf2 0.500 0.000 0.500
Sb1 0.500 0.500 0.000
H1 0.000 0.000 0.500
```

Li2HfSbH: relaxed, GGA-PBE.

- spin magnetization (μB per cell) = 0.0
- crystal system = tetragonal
- Fermi-level density of states (states/eV/f.u.) = 2.02
- volume (Å³ per atom) = 14.81
- total DFT energy (no corrections) (eV/f.u.) = -23.093

```
data_Li2HfSbH
_space_group_name_H-M_alt 'P 1'
_space_group_IT_number 1
_cell_length_a 4.163
_cell_length_b 4.163
_cell_length_c 4.274
_cell_angle_alpha 90.00
_cell_angle_beta 90.00
_cell_angle_gamma 90.00
loop_
_space_group_symop_operation_xyz
'x,y,z'
loop_
_atom_site_label
_atom_site_fract_x
_atom_site_fract_y
_atom_site_fract_z
Li1 0.000 0.500 0.000
Li2 0.500 0.000 0.000
Hf1 0.000 0.000 0.500
Sb1 0.500 0.500 0.500
H1 0.000 0.000 0.000
```

LiHfSc2H: relaxed, GGA-PBE.

- spin magnetization (μB per cell) = 0.0
- crystal system = tetragonal
- Fermi-level density of states (states/eV/f.u.) = 7.61
- volume (Å³ per atom) = 17.77
- total DFT energy (no corrections) (eV/f.u.) = -27.548

```
data_LiHfSc2H
_space_group_name_H-M_alt 'P 1'
_space_group_IT_number 1
_cell_length_a 4.567
_cell_length_b 4.567
_cell_length_c 4.259
_cell_angle_alpha 90.00
_cell_angle_beta 90.00
_cell_angle_gamma 90.00
loop_
_space_group_symop_operation_xyz
'x,y,z'
loop_
_atom_site_label
_atom_site_fract_x
_atom_site_fract_y
_atom_site_fract_z
Li1 0.000 0.000 0.000
Hf1 0.500 0.500 0.000
Sc1 0.000 0.500 0.500
Sc2 0.500 0.000 0.500
H1 0.500 0.500 0.500
```

LiHfSc2H: relaxed, GGA-PBE.

- spin magnetization (μB per cell) = 0.5
- crystal system = tetragonal
- Fermi-level density of states (states/eV/f.u.) = 6.67
- volume (Å³ per atom) = 17.22
- total DFT energy (no corrections) (eV/f.u.) = -27.548

```
data_LiHfSc2H
_space_group_name_H-M_alt 'P 1'
_space_group_IT_number 1
_cell_length_a 4.599
_cell_length_b 4.599
_cell_length_c 4.073
_cell_angle_alpha 90.00
_cell_angle_beta 90.00
_cell_angle_gamma 90.00
loop_
_space_group_symop_operation_xyz
'x,y,z'
loop_
_atom_site_label
_atom_site_fract_x
_atom_site_fract_y
_atom_site_fract_z
Li1 0.000 0.000 0.000
Hf1 0.500 0.500 0.000
Sc1 0.000 0.500 0.500
Sc2 0.500 0.000 0.500
H1 0.000 0.000 0.500
```

LiHfSi2H: relaxed, GGA-PBE.

- spin magnetization (μB per cell) = 0.0
- crystal system = tetragonal
- Fermi-level density of states (states/eV/f.u.) = 2.41
- volume (Å³ per atom) = 15.07
- total DFT energy (no corrections) (eV/f.u.) = -21.680

```
data_LiHfSi2H
_space_group_name_H-M_alt 'P 1'
_space_group_IT_number 1
_cell_length_a 3.968
_cell_length_b 3.968
_cell_length_c 4.787
_cell_angle_alpha 90.00
_cell_angle_beta 90.00
_cell_angle_gamma 90.00
loop_
_space_group_symop_operation_xyz
'x,y,z'
loop_
_atom_site_label
_atom_site_fract_x
_atom_site_fract_y
_atom_site_fract_z
Li1 0.000 0.000 0.000
Hf1 0.000 0.000 0.500
Si1 0.000 0.500 0.000
Si2 0.500 0.000 0.000
H1 0.500 0.500 0.500
```

Li2HfSiH: relaxed, GGA-PBE.

- spin magnetization (μB per cell) = 0.0
- crystal system = tetragonal
- Fermi-level density of states (states/eV/f.u.) = 1.39
- volume (Å³ per atom) = 12.84
- total DFT energy (no corrections) (eV/f.u.) = -24.395

```
data_Li2HfSiH
_space_group_name_H-M_alt 'P 1'
_space_group_IT_number 1
_cell_length_a 3.848
_cell_length_b 3.848
_cell_length_c 4.337
_cell_angle_alpha 90.00
_cell_angle_beta 90.00
_cell_angle_gamma 90.00
loop_
_space_group_symop_operation_xyz
'x,y,z'
loop_
_atom_site_label
_atom_site_fract_x
_atom_site_fract_y
_atom_site_fract_z
Li1 0.000 0.500 0.000
Li2 0.500 0.000 0.000
Hf1 0.000 0.000 0.500
Si1 0.500 0.500 0.500
H1 0.000 0.000 0.000
```

LiHf2SnH: relaxed, GGA-PBE.

- spin magnetization (μB per cell) = 0.0
- crystal system = tetragonal
- Fermi-level density of states (states/eV/f.u.) = 2.42
- volume (Å³ per atom) = 16.24
- total DFT energy (no corrections) (eV/f.u.) = -30.623

```
data_LiHf2SnH
_space_group_name_H-M_alt 'P 1'
_space_group_IT_number 1
_cell_length_a 4.280
_cell_length_b 4.280
_cell_length_c 4.432
_cell_angle_alpha 90.00
_cell_angle_beta 90.00
_cell_angle_gamma 90.00
loop_
_space_group_symop_operation_xyz
'x,y,z'
loop_
_atom_site_label
_atom_site_fract_x
_atom_site_fract_y
_atom_site_fract_z
Li1 0.000 0.000 0.000
Hf1 0.000 0.500 0.500
Hf2 0.500 0.000 0.500
Sn1 0.500 0.500 0.000
H1 0.000 0.000 0.500
```